# 1
DFT (PBE-GGA) results for a geometry-optimized LiTaZn2 structure.

It has space group Pmmm (No. 47), with a = 2.670 Å, b = 3.865 Å, c = 6.002 Å, α = 90.00°, β = 90.00° and γ = 90.00°. Symmetry generates all atoms from Li at (0.000, 0.000, 0.000), Ta at (0.000, 0.000, 0.500) and Zn at (0.500, 0.500, 0.238).

The formation energy from the elements is 0.1 eV/f.u. Its density of states at the Fermi level is 1.712 states/eV per cell. The spin magnetization is 0.0 μB/cell. The theoretical density is 8.55 g/cm3. For the calculated volume, the calculation gives 62 Å³/cell.

---

# 2
DFT (PBE-GGA) results for a geometry-optimized Ba2PmOsN4 structure.

It has space group Fddd (No. 70, origin choice 2), with a = 6.125 Å, b = 12.155 Å, c = 21.327 Å, α = 90.00°, β = 90.00° and γ = 90.00°. Symmetry generates all atoms from Ba at (0.125, 0.125, 0.312), Pm at (0.125, 0.125, 0.125), Os at (0.125, 0.125, 0.625) and N at (0.067, 0.282, 0.833).

The raw formation energy is -12.1 kJ per mole of atoms. Its density of states at the Fermi level is 40.154 states/eV per cell. The spin magnetization is 0.0 μB/cell. The theoretical density is 5.57 g/cm3. For the calculated volume, the calculation gives 1588 Å³/cell.

---

# 3
DFT (PBE-GGA) results for a geometry-optimized Y2PdPt2 structure.

It has space group P4/mbm (No. 127), with a = 7.538 Å, b = 7.538 Å, c = 3.731 Å, α = 90.00°, β = 90.00° and γ = 90.00°. Symmetry generates all atoms from Y at (0.173, 0.327, 0.000), Pd at (0.000, 0.000, 0.500) and Pt at (0.130, 0.630, 0.500).

The formation energy from the elements is -5.3 eV/f.u. Its density of states at the Fermi level is 4.660 states/eV per cell. The spin magnetization is 0.0 μB/cell. The theoretical density is 10.57 g/cm3. For the calculated volume, the calculation gives 212 Å³/cell.